DFT (GGA+U) results for a geometry-optimized Na4MoN2O2 structure.

Output
- space group = P-1, No. 2
- ρ (g cm⁻³) = 2.94
- magnetic moment (μB per cell) = 0.0
- uncorrected energy (eV/f.u.) = -47.32

abc: 5.916 5.950 8.986
angles: 82.80 71.50 68.86
Fractional positions:
Mo 0.158 0.280 0.238
Mo 0.842 0.720 0.762
N 0.296 0.038 0.362
N 0.704 0.962 0.638
N 0.843 0.457 0.354
N 0.157 0.543 0.646
Na 0.479 0.740 0.557
Na 0.241 0.762 0.985
Na 0.387 0.277 0.816
Na 0.613 0.723 0.184
Na 0.759 0.238 0.015
Na 0.521 0.260 0.443
Na 0.943 0.242 0.598
Na 0.057 0.758 0.402
O 0.850 0.843 0.945
O 0.640 0.515 0.814
O 0.150 0.157 0.055
O 0.360 0.485 0.186